Arrangement w

Cs5K2Na4 after structural relaxation, computed with PBE.

The mass density comes out at 1.61 g/cm3.

The space group is C2/m (No. 12) and the conventional cell measures 30.750, 4.920 and 12.444 Å, with angles of 90.00, 113.69 and 90.00 degrees. Symmetry generates all atoms from Cs at (0.000, 0.000, 0.000), Cs at (0.160, 0.500, 0.376), Cs at (0.160, 0.500, 0.944), K at (0.077, 0.000, 0.576), Na at (0.000, 0.500, 0.299) and Na at (0.218, 0.000, 0.718).

=====

Arrangement x

Cs5K2Na4 after structural relaxation, computed with PBE.

The mass density comes out at 1.61 g/cm3.

The space group is C2/m (No. 12) and the conventional cell measures 15.671, 9.636 and 11.934 Å, with angles of 90.00, 107.62 and 90.00 degrees. Symmetry generates all atoms from Cs at (0.000, 0.000, 0.000), Cs at (0.183, 0.259, 0.670), K at (0.044, 0.500, 0.215), Na at (0.060, 0.000, 0.371) and Na at (0.212, 0.500, 0.005).

=====

Which structure is the most stable? The one labeled arrangement w.

=====

Arrangement w

Cs4K5Na3 after structural relaxation, computed with PBE.

The mass density comes out at 1.36 g/cm3.

The space group is C2/m (No. 12) and the conventional cell measures 16.389, 7.495 and 17.397 Å, with angles of 90.00, 114.56 and 90.00 degrees. Symmetry generates all atoms from Cs at (0.161, 0.000, 0.012), Cs at (0.163, 0.000, 0.356), K at (0.000, 0.500, 0.500), K at (0.039, 0.500, 0.137), K at (0.171, 0.000, 0.735), Na at (0.000, 0.000, 0.500) and Na at (0.108, 0.500, 0.743).

=====

Arrangement x

Cs4K5Na3 after structural relaxation, computed with PBE.

The mass density comes out at 1.42 g/cm3.

The space group is C2/m (No. 12) and the conventional cell measures 16.681, 7.917 and 14.558 Å, with angles of 90.00, 104.35 and 90.00 degrees. Symmetry generates all atoms from Cs at (0.062, 0.000, 0.319), Cs at (0.239, 0.000, 0.739), K at (0.000, 0.500, 0.000), K at (0.142, 0.500, 0.527), K at (0.240, 0.000, 0.073), Na at (0.000, 0.000, 0.000) and Na at (0.040, 0.500, 0.743).

=====

Which structure is the most stable? The one labeled arrangement x.

=====

Arrangement w

CsK7Na2 after structural relaxation, computed with PBE.

The mass density comes out at 0.93 g/cm3.

The space group is Cmmm (No. 65) and the conventional cell measures 12.330, 18.226 and 7.198 Å, with angles of 90.00, 90.00 and 90.00 degrees. Symmetry generates all atoms from Cs at (0.000, 0.000, 0.000), K at (0.000, 0.336, 0.000), K at (0.000, 0.500, 0.500), K at (0.204, 0.126, 0.500) and Na at (0.000, 0.280, 0.500).

=====

Arrangement x

CsK7Na2 after structural relaxation, computed with PBE.

The mass density comes out at 1.06 g/cm3.

The space group is P3m1 (No. 156) and the conventional cell measures 7.0939, 7.0939 and 16.3186 Å, with angles of 90.00, 90.00 and 120.00 degrees. Symmetry generates all atoms from Cs at (0.0000, 0.0000, 0.0000), K at (0.0000, 0.0000, 0.3323), K at (0.0000, 0.0000, 0.6153), K at (0.3333, 0.6667, 0.1475), K at (0.3333, 0.6667, 0.4142), K at (0.3333, 0.6667, 0.8671), K at (0.6667, 0.3333, 0.2321), K at (0.6667, 0.3333, 0.7498), Na at (0.3333, 0.6667, 0.6382) and Na at (0.6667, 0.3333, 0.4984).

=====

Which structure is the most stable? The one labeled arrangement x.

=====

Arrangement w

CsK2NaPb after structural relaxation, computed with PBE.

The mass density comes out at 2.66 g/cm3.

The space group is P4/mmm (No. 123) and the conventional cell measures 6.799, 6.799 and 5.962 Å, with angles of 90.00, 90.00 and 90.00 degrees. Symmetry generates all atoms from Cs at (0.000, 0.000, 0.000), K at (0.000, 0.500, 0.500), Na at (0.500, 0.500, 0.500) and Pb at (0.500, 0.500, 0.000).

=====

Arrangement x

CsK2NaPb after structural relaxation, computed with PBE.

The mass density comes out at 2.40 g/cm3.

The space group is P4/mmm (No. 123) and the conventional cell measures 6.963, 6.963 and 6.286 Å, with angles of 90.00, 90.00 and 90.00 degrees. Symmetry generates all atoms from Cs at (0.000, 0.000, 0.000), K at (0.000, 0.500, 0.500), Na at (0.500, 0.500, 0.000) and Pb at (0.500, 0.500, 0.500).

=====

Which structure is the most stable? The one labeled arrangement x.

=====

Arrangement w

Cs2KNaPt after structural relaxation, computed with PBE.

The mass density comes out at 3.15 g/cm3.

The space group is P4/mmm (No. 123) and the conventional cell measures 6.866, 6.866 and 5.850 Å, with angles of 90.00, 90.00 and 90.00 degrees. Symmetry generates all atoms from Cs at (0.000, 0.500, 0.000), K at (0.000, 0.000, 0.500), Na at (0.500, 0.500, 0.500) and Pt at (0.500, 0.500, 0.000).

=====

Arrangement x

Cs2KNaPt after structural relaxation, computed with PBE.

The mass density comes out at 2.96 g/cm3.

The space group is P4/mmm (No. 123) and the conventional cell measures 6.792, 6.792 and 6.353 Å, with angles of 90.00, 90.00 and 90.00 degrees. Symmetry generates all atoms from Cs at (0.000, 0.500, 0.000), K at (0.000, 0.000, 0.500), Na at (0.500, 0.500, 0.500) and Pt at (0.000, 0.000, 0.000).

=====

Which structure is the most stable? The one labeled arrangement x.

=====

Arrangement w

CsKRbNa2 after structural relaxation, computed with PBE.

The mass density comes out at 1.27 g/cm3.

The space group is P4/mmm (No. 123) and the conventional cell measures 7.215, 7.215 and 7.624 Å, with angles of 90.00, 90.00 and 90.00 degrees. Symmetry generates all atoms from Cs at (0.000, 0.000, 0.000), K at (0.500, 0.500, 0.500), Rb at (0.500, 0.500, 0.000) and Na at (0.000, 0.500, 0.500).

=====

Arrangement x

CsKRbNa2 after structural relaxation, computed with PBE.

The mass density comes out at 1.48 g/cm3.

The space group is Imm2 (No. 44) and the conventional cell measures 4.879, 7.104 and 19.692 Å, with angles of 90.00, 90.00 and 90.00 degrees. Symmetry generates all atoms from Cs at (0.000, 0.000, 0.000), K at (0.000, 0.000, 0.408), Rb at (0.000, 0.500, 0.720), Na at (0.000, 0.000, 0.614) and Na at (0.000, 0.500, 0.277).

=====

Arrangement y

CsKRbNa2 after structural relaxation, computed with PBE.

The mass density comes out at 1.22 g/cm3.

The space group is P4/mmm (No. 123) and the conventional cell measures 7.360, 7.360 and 7.647 Å, with angles of 90.00, 90.00 and 90.00 degrees. Symmetry generates all atoms from Cs at (0.000, 0.000, 0.000), K at (0.500, 0.500, 0.000), Rb at (0.500, 0.500, 0.500) and Na at (0.000, 0.500, 0.500).

=====

Which structure is the most stable? The one labeled arrangement x.

=====

Arrangement w

CsKRb2Na after structural relaxation, computed with PBE.

The mass density comes out at 1.51 g/cm3.

The space group is Imm2 (No. 44) and the conventional cell measures 4.694, 7.776 and 22.034 Å, with angles of 90.00, 90.00 and 90.00 degrees. Symmetry generates all atoms from Cs at (0.000, 0.000, 0.000), K at (0.000, 0.000, 0.201), Rb at (0.000, 0.000, 0.408), Rb at (0.000, 0.000, 0.772) and Na at (0.000, 0.500, 0.097).

=====

Arrangement x

CsKRb2Na after structural relaxation, computed with PBE.

The mass density comes out at 1.38 g/cm3.

The space group is P4/mmm (No. 123) and the conventional cell measures 7.691, 7.691 and 7.464 Å, with angles of 90.00, 90.00 and 90.00 degrees. Symmetry generates all atoms from Cs at (0.000, 0.000, 0.000), K at (0.500, 0.500, 0.000), Rb at (0.000, 0.500, 0.500) and Na at (0.500, 0.500, 0.500).

=====

Arrangement y

CsKRb2Na after structural relaxation, computed with PBE.

The mass density comes out at 1.32 g/cm3.

The space group is P4/mmm (No. 123) and the conventional cell measures 7.633, 7.633 and 7.925 Å, with angles of 90.00, 90.00 and 90.00 degrees. Symmetry generates all atoms from Cs at (0.000, 0.000, 0.000), K at (0.500, 0.500, 0.000), Rb at (0.000, 0.500, 0.500) and Na at (0.000, 0.000, 0.500).

=====

Arrangement z

CsKRb2Na after structural relaxation, computed with PBE.

The mass density comes out at 1.32 g/cm3.

The space group is P4/mmm (No. 123) and the conventional cell measures 8.018, 8.018 and 7.186 Å, with angles of 90.00, 90.00 and 90.00 degrees. Symmetry generates all atoms from Cs at (0.000, 0.000, 0.000), K at (0.500, 0.500, 0.500), Rb at (0.000, 0.500, 0.500) and Na at (0.500, 0.500, 0.000).

=====

Which structure is the most stable? The one labeled arrangement w.

=====

Arrangement w

CsK2RbNa after structural relaxation, computed with PBE.

The mass density comes out at 1.40 g/cm3.

The space group is Imm2 (No. 44) and the conventional cell measures 4.577, 7.761 and 21.386 Å, with angles of 90.00, 90.00 and 90.00 degrees. Symmetry generates all atoms from Cs at (0.000, 0.000, 0.000), K at (0.000, 0.000, 0.419), K at (0.000, 0.000, 0.781), Rb at (0.000, 0.000, 0.212) and Na at (0.000, 0.500, 0.104).

=====

Arrangement x

CsK2RbNa after structural relaxation, computed with PBE.

The mass density comes out at 1.24 g/cm3.

The space group is P4/mmm (No. 123) and the conventional cell measures 7.390, 7.390 and 7.866 Å, with angles of 90.00, 90.00 and 90.00 degrees. Symmetry generates all atoms from Cs at (0.000, 0.000, 0.000), K at (0.000, 0.500, 0.500), Rb at (0.500, 0.500, 0.000) and Na at (0.000, 0.000, 0.500).

=====

Which structure is the most stable? The one labeled arrangement w.

=====

Arrangement w

CsK2RbNa after structural relaxation, computed with PBE.

The mass density comes out at 1.27 g/cm3.

The space group is P4/mmm (No. 123) and the conventional cell measures 7.416, 7.416 and 7.624 Å, with angles of 90.00, 90.00 and 90.00 degrees. Symmetry generates all atoms from Cs at (0.000, 0.000, 0.000), K at (0.000, 0.500, 0.500), Rb at (0.500, 0.500, 0.000) and Na at (0.500, 0.500, 0.500).

=====

Arrangement x

CsK2RbNa after structural relaxation, computed with PBE.

The mass density comes out at 1.16 g/cm3.

The space group is P4/mmm (No. 123) and the conventional cell measures 7.889, 7.889 and 7.331 Å, with angles of 90.00, 90.00 and 90.00 degrees. Symmetry generates all atoms from Cs at (0.000, 0.000, 0.000), K at (0.000, 0.500, 0.500), Rb at (0.500, 0.500, 0.500) and Na at (0.500, 0.500, 0.000).

=====

Which structure is the most stable? The one labeled arrangement w.

=====

Arrangement w

CsKNaSb after structural relaxation, computed with PBE.

The mass density comes out at 3.51 g/cm3.

The space group is F-43m (No. 216) and the conventional cell measures 8.434, 8.434 and 8.434 Å, with angles of 90.00, 90.00 and 90.00 degrees. Symmetry generates all atoms from Cs at (0.000, 0.000, 0.000), K at (0.250, 0.250, 0.750), Na at (0.250, 0.250, 0.250) and Sb at (0.000, 0.000, 0.500).

=====

Arrangement x

CsKNaSb after structural relaxation, computed with PBE.

The mass density comes out at 3.15 g/cm3.

The space group is R3m (No. 160, hexagonal axes) and the conventional cell measures 5.6464, 5.6464 and 18.1716 Å, with angles of 90.00, 90.00 and 120.00 degrees. Symmetry generates all atoms from Cs at (0.0000, 0.0000, 0.0000), K at (0.0000, 0.0000, 0.7838), Na at (0.0000, 0.0000, 0.2195) and Sb at (0.0000, 0.0000, 0.5408).

=====

Which structure is the most stable? The one labeled arrangement x.

=====

Arrangement w

CsKNa2Sb after structural relaxation, computed with PBE.

The mass density comes out at 2.00 g/cm3.

The space group is P4/mmm (No. 123) and the conventional cell measures 6.138, 6.138 and 7.486 Å, with angles of 90.00, 90.00 and 90.00 degrees. Symmetry generates all atoms from Cs at (0.000, 0.000, 0.000), K at (0.500, 0.500, 0.000), Na at (0.000, 0.500, 0.500) and Sb at (0.000, 0.000, 0.500).

=====

Arrangement x

CsKNa2Sb after structural relaxation, computed with PBE.

The mass density comes out at 2.15 g/cm3.

The space group is P4/mmm (No. 123) and the conventional cell measures 6.181, 6.181 and 6.865 Å, with angles of 90.00, 90.00 and 90.00 degrees. Symmetry generates all atoms from Cs at (0.000, 0.000, 0.000), K at (0.500, 0.500, 0.000), Na at (0.000, 0.500, 0.500) and Sb at (0.500, 0.500, 0.500).

=====

Which structure is the most stable? The one labeled arrangement x.

=====

Arrangement w

Cs2KNaTe after structural relaxation, computed with PBE.

The mass density comes out at 2.02 g/cm3.

The space group is P4/mmm (No. 123) and the conventional cell measures 7.471, 7.471 and 6.717 Å, with angles of 90.00, 90.00 and 90.00 degrees. Symmetry generates all atoms from Cs at (0.000, 0.500, 0.000), K at (0.000, 0.000, 0.500), Na at (0.500, 0.500, 0.500) and Te at (0.000, 0.000, 0.000).

=====

Arrangement x

Cs2KNaTe after structural relaxation, computed with PBE.

The mass density comes out at 2.15 g/cm3.

The space group is P4/mmm (No. 123) and the conventional cell measures 7.662, 7.662 and 5.993 Å, with angles of 90.00, 90.00 and 90.00 degrees. Symmetry generates all atoms from Cs at (0.000, 0.500, 0.000), K at (0.000, 0.000, 0.500), Na at (0.500, 0.500, 0.500) and Te at (0.500, 0.500, 0.000).

=====

Which structure is the most stable? The one labeled arrangement w.